Record 1
Computed, not measured: a relaxed MgAgTe2O6 crystal at the PBE level of DFT.

Raw total energy, eV/atom: -5.136

Cell: 4.9726 4.9726 13.1601 Å, 86.74 86.74 69.47°
Element x y z (fractional)
O  0.7460  0.2499  0.8757
O  0.7596  0.7479  0.2568
O  0.2477  0.7600  0.6259
O  0.2540  0.7501  0.1243
O  0.7501  0.2540  0.6243
O  0.2404  0.2521  0.7432
O  0.2400  0.7523  0.8741
O  0.2521  0.2404  0.2432
O  0.7479  0.7596  0.7568
O  0.7600  0.2477  0.1259
O  0.2499  0.7460  0.3757
O  0.7523  0.2400  0.3741
Ag  0.0000  0.0000  0.5000
Ag  0.0000  0.0000  0.0000
Mg  0.9936  0.0064  0.7500
Mg  0.0064  0.9936  0.2500
Te  0.3416  0.3525  0.6147
Te  0.3525  0.3416  0.1147
Te  0.6584  0.6475  0.3853
Te  0.6475  0.6584  0.8853


Record 2
Computed, not measured: a relaxed TmMgAgO3 crystal at the PBE level of DFT.

Raw total energy, eV/atom: -5.264

Cell: 5.3770 5.3770 11.2939 Å, 90.00 90.00 44.91°
Element x y z (fractional)
O  0.1673  0.1673  0.8962
O  0.8327  0.8327  0.3962
O  0.5485  0.5485  0.2500
O  0.8327  0.8327  0.1038
O  0.4515  0.4515  0.7500
O  0.1673  0.1673  0.6038
Tm  0.0000  0.0000  0.5000
Tm  0.0000  0.0000  0.0000
Mg  0.2604  0.2604  0.7500
Mg  0.7396  0.7396  0.2500
Ag  0.9845  0.9845  0.7500
Ag  0.0155  0.0155  0.2500


Record 3
Computed, not measured: a relaxed MgAgOs2 crystal at the PBE level of DFT.

Raw total energy, eV/atom: -6.265

Cell: 4.4349 4.4349 4.4349 Å, 60.00 60.00 60.00°
Element x y z (fractional)
Os  0.2500  0.2500  0.2500
Os  0.0000  0.0000  0.0000
Mg  0.7500  0.7500  0.7500
Ag  0.5000  0.5000  0.5000


Record 4
Computed, not measured: a relaxed MgReAgOs crystal at the PBE level of DFT.

Raw total energy, eV/atom: -6.613
Energy relative to the lowest polymorph listed for this composition, meV/atom: 0.0

Cell: 4.4476 4.4476 4.4476 Å, 60.00 60.00 60.00°
Element x y z (fractional)
Re  0.2500  0.2500  0.2500
Mg  0.7500  0.7500  0.7500
Ag  0.5000  0.5000  0.5000
Os  0.0000  0.0000  0.0000


Record 5
Computed, not measured: a relaxed Pr3Mg3TlAgPd crystal at the PBE level of DFT.

Raw total energy, eV/atom: -3.670

Cell: 7.9896 7.9896 4.1726 Å, 90.00 90.00 120.00°
Element x y z (fractional)
Pr  0.4266  0.4022  0.5000
Pr  0.9755  0.5734  0.5000
Pr  0.5978  0.0245  0.5000
Mg  0.7575  0.7580  0.0000
Mg  0.0005  0.2425  0.0000
Mg  0.2420  0.9995  0.0000
Pd  0.6667  0.3333  0.0000
Ag  0.0000  0.0000  0.5000
Tl  0.3333  0.6667  0.0000


Record 6
Computed, not measured: a relaxed MgAgSbPd crystal at the PBE level of DFT.

Raw total energy, eV/atom: -3.729
Energy relative to the lowest polymorph listed for this composition, meV/atom: 0.0

Cell: 4.7311 4.7311 4.7311 Å, 60.00 60.00 60.00°
Element x y z (fractional)
Pd  0.5000  0.5000  0.5000
Ag  0.0000  0.0000  0.0000
Sb  0.2500  0.2500  0.2500
Mg  0.7500  0.7500  0.7500


Record 7
Computed, not measured: a relaxed MgAgSnPd crystal at the PBE level of DFT.

Raw total energy, eV/atom: -3.787
Energy relative to the lowest polymorph listed for this composition, meV/atom: 0.0

Cell: 4.6873 4.6873 4.6873 Å, 60.00 60.00 60.00°
Element x y z (fractional)
Pd  0.0000  0.0000  0.0000
Ag  0.5000  0.5000  0.5000
Sn  0.2500  0.2500  0.2500
Mg  0.7500  0.7500  0.7500


Record 8
Computed, not measured: a relaxed MgTaAgPd crystal at the PBE level of DFT.

Raw total energy, eV/atom: -5.398
Energy relative to the lowest polymorph listed for this composition, meV/atom: 0.0

Cell: 4.5848 4.5848 4.5848 Å, 60.00 60.00 60.00°
Element x y z (fractional)
Ag  0.0000  0.0000  0.0000
Ta  0.2500  0.2500  0.2500
Mg  0.7500  0.7500  0.7500
Pd  0.5000  0.5000  0.5000


- What is the formula in the fifth record?
  Pr3Mg3TlAgPd


What did the eighth record say?
Computed, not measured: a relaxed MgTaAgPd crystal at the PBE level of DFT.

Raw total energy, eV/atom: -5.398
Energy relative to the lowest polymorph listed for this composition, meV/atom: 0.0

Cell: 4.5848 4.5848 4.5848 Å, 60.00 60.00 60.00°
Element x y z (fractional)
Ag  0.0000  0.0000  0.0000
Ta  0.2500  0.2500  0.2500
Mg  0.7500  0.7500  0.7500
Pd  0.5000  0.5000  0.5000


Please write out number 2 again, unchanged.
Computed, not measured: a relaxed TmMgAgO3 crystal at the PBE level of DFT.

Raw total energy, eV/atom: -5.264

Cell: 5.3770 5.3770 11.2939 Å, 90.00 90.00 44.91°
Element x y z (fractional)
O  0.1673  0.1673  0.8962
O  0.8327  0.8327  0.3962
O  0.5485  0.5485  0.2500
O  0.8327  0.8327  0.1038
O  0.4515  0.4515  0.7500
O  0.1673  0.1673  0.6038
Tm  0.0000  0.0000  0.5000
Tm  0.0000  0.0000  0.0000
Mg  0.2604  0.2604  0.7500
Mg  0.7396  0.7396  0.2500
Ag  0.9845  0.9845  0.7500
Ag  0.0155  0.0155  0.2500